Entry 1:
Here is PaBeCo after structural relaxation from OQMD via LeMat-Bulk. Energies are from PBE-GGA.

Cell and atoms, written as extended XYZ:
```
12
Lattice="6.7828 0.0000 0.0000 0.0000 4.1400 0.0000 0.0000 0.0000 6.1979" Properties=species:S:1:pos:R:3 pbc="T T T"
Pa 0.1416 1.0350 1.0415
Pa 3.2498 3.1050 4.1405
Pa 3.5330 1.0350 2.0574
Pa 6.6412 3.1050 5.1564
Be 1.2735 1.0350 3.8041
Be 2.1179 3.1050 0.7051
Be 4.6649 1.0350 5.4928
Be 5.5093 3.1050 2.3938
Co 0.9495 3.1050 2.7457
Co 2.4419 1.0350 5.8447
Co 4.3409 3.1050 0.3532
Co 5.8333 1.0350 3.4522
```

Summary:
Polymorph energy (0 for the lowest one) (eV per formula unit): 0.00
Uncorrected energy (eV/atom): -7.08


Entry 2:
Here is Cs2Ag after structural relaxation from OQMD via LeMat-Bulk. Energies are from PBE-GGA.

Cell and atoms, written as extended XYZ:
```
9
Lattice="9.9903 0.0000 0.0000 -4.9952 8.6519 0.0000 0.0000 0.0000 5.6527" Properties=species:S:1:pos:R:3 pbc="T T T"
Cs -1.2838 2.2236 0.0000
Cs -2.9414 5.0946 2.8263
Cs 2.5675 0.0000 0.0000
Cs 2.0538 3.5572 2.8263
Cs 5.8828 0.0000 2.8263
Cs 3.7114 6.4283 0.0000
Ag 0.0000 0.0000 2.8263
Ag 0.0000 5.7679 0.0000
Ag 4.9952 2.8840 0.0000
```

Summary:
Polymorph energy (0 for the lowest one) (eV per formula unit): 0.00
Uncorrected energy (eV/atom): -1.45


Entry 3:
Here is K2FeSnCl6 after structural relaxation from OQMD via LeMat-Bulk. Energies are from PBE-GGA.

Cell and atoms, written as extended XYZ:
```
10
Lattice="0.0000 5.2099 5.2099 5.2099 0.0000 5.2099 5.2099 5.2099 0.0000" Properties=species:S:1:pos:R:3 pbc="T T T"
K 2.6050 2.6050 2.6050
K 7.8149 7.8149 7.8149
Fe 0.0000 0.0000 0.0000
Sn 5.2099 5.2099 5.2099
Cl 5.2099 5.2099 2.4476
Cl 5.2099 2.4476 5.2099
Cl 7.9722 5.2099 5.2099
Cl 2.4476 5.2099 5.2099
Cl 5.2099 7.9722 5.2099
Cl 5.2099 5.2099 7.9722
```

Summary:
Uncorrected energy (eV/atom): -3.81


Entry 4:
Here is NiBiPb2 after structural relaxation from OQMD via LeMat-Bulk. Energies are from PBE-GGA.

Cell and atoms, written as extended XYZ:
```
4
Lattice="0.0000 3.7256 3.7256 3.7256 0.0000 3.7256 3.7256 3.7256 0.0000" Properties=species:S:1:pos:R:3 pbc="T T T"
Ni 0.0000 0.0000 0.0000
Bi 5.5884 5.5884 5.5884
Pb 1.8628 1.8628 1.8628
Pb 3.7256 3.7256 3.7256
```

Summary:
Uncorrected energy (eV/atom): -3.86


Entry 5:
Here is InAg15 after structural relaxation from OQMD via LeMat-Bulk. Energies are from PBE-GGA.

Cell and atoms, written as extended XYZ:
```
32
Lattice="4.0901 0.0000 0.0000 0.0000 4.0889 0.0000 0.0000 0.0000 45.6069" Properties=species:S:1:pos:R:3 pbc="T T T"
In 1.0225 0.0000 6.9209
In 3.0675 0.0000 38.6860
Ag 1.0225 0.0000 11.3540
Ag 1.0225 0.0000 15.5342
Ag 1.0225 0.0000 19.6927
Ag 1.0225 0.0000 23.8393
Ag 1.0225 0.0000 27.9956
Ag 1.0225 0.0000 32.1641
Ag 1.0225 0.0000 36.3611
Ag 1.0225 2.0444 9.2468
Ag 1.0225 2.0444 13.4431
Ag 1.0225 2.0444 17.6106
Ag 1.0225 2.0444 21.7652
Ag 1.0225 2.0444 25.9099
Ag 1.0225 2.0444 30.0679
Ag 1.0225 2.0444 34.2525
Ag 1.0225 2.0444 38.5285
Ag 3.0675 0.0000 9.2458
Ag 3.0675 0.0000 13.4429
Ag 3.0675 0.0000 17.6113
Ag 3.0675 0.0000 21.7676
Ag 3.0675 0.0000 25.9142
Ag 3.0675 0.0000 30.0728
Ag 3.0675 0.0000 34.2529
Ag 3.0675 2.0444 7.0785
Ag 3.0675 2.0444 11.3544
Ag 3.0675 2.0444 15.5391
Ag 3.0675 2.0444 19.6970
Ag 3.0675 2.0444 23.8418
Ag 3.0675 2.0444 27.9963
Ag 3.0675 2.0444 32.1638
Ag 3.0675 2.0444 36.3601
```

Summary:
Polymorph energy (0 for the lowest one) (eV per formula unit): 0.00
Uncorrected energy (eV/atom): -2.78


Entry 6:
Here is NdMg after structural relaxation from OQMD via LeMat-Bulk. Energies are from PBE-GGA.

Cell and atoms, written as extended XYZ:
```
8
Lattice="5.2271 0.0000 0.0000 0.0000 8.4981 0.0000 0.0000 0.0000 5.2325" Properties=species:S:1:pos:R:3 pbc="T T T"
Nd 0.0000 0.0000 0.0000
Nd 0.0000 2.2693 2.6168
Nd 0.0000 6.2288 2.6168
Nd 2.6136 0.0000 2.6190
Mg 0.0000 4.2490 0.0086
Mg 2.6136 2.3663 5.2205
Mg 2.6136 4.2490 2.5933
Mg 2.6136 6.1317 5.2205
```

Summary:
Polymorph energy (0 for the lowest one) (eV per formula unit): 0.21
Uncorrected energy (eV/atom): -3.16